1.
Entry from Alexandria via LeMat-Bulk: a relaxed NiW3 crystal (PBE).

Geometry as extended XYZ:
```
4
Lattice="1.6179 -2.1697 0.0000 1.6179 2.1697 0.0000 0.0000 0.0000 8.5205" Properties=species:S:1:pos:R:3 pbc="T T T"
Ni 0.0000 0.0000 0.0000
W 0.0000 0.0000 4.2603
W 1.6179 0.0000 1.9942
W 1.6179 0.0000 6.5264
```

Output
* crystal system: orthorhombic
* space group: No. 65

2.
Entry from Alexandria via LeMat-Bulk: a relaxed Ni2W crystal (PBE).

Geometry as extended XYZ:
```
6
Lattice="1.3155 -6.7729 0.0000 1.3155 6.7729 0.0000 0.0000 0.0000 4.2150" Properties=species:S:1:pos:R:3 pbc="T T T"
Ni 1.3155 6.0598 3.1612
Ni 1.3155 2.9656 1.0537
Ni 1.3155 -2.9656 3.1612
Ni 1.3155 -6.0598 1.0537
W 1.3155 1.5369 3.1612
W 1.3155 -1.5369 1.0537
```

Output
* crystal system: orthorhombic
* space group: No. 63

3.
Entry from Alexandria via LeMat-Bulk: a relaxed NiW2 crystal (PBE).

Geometry as extended XYZ:
```
3
Lattice="-1.3375 1.3375 6.0545 1.3375 -1.3375 6.0545 1.3375 1.3375 -6.0545" Properties=species:S:1:pos:R:3 pbc="T T T"
Ni 0.0000 0.0000 0.0000
W 0.0000 0.0000 4.1739
W 0.0000 0.0000 7.9350
```

Output
* distance to the lowest polymorph of the same formula: 21.7 meV per atom
* crystal system: tetragonal
* space group: No. 139

4.
Entry from Alexandria via LeMat-Bulk: a relaxed Ni2W crystal (PBE).

Geometry as extended XYZ:
```
3
Lattice="2.6860 0.0000 0.0000 -1.3430 2.3261 0.0000 0.0000 0.0000 6.2445" Properties=species:S:1:pos:R:3 pbc="T T T"
Ni 0.0000 1.5508 1.0003
Ni 1.3430 0.7754 5.2442
W 0.0000 0.0000 3.1222
```

Output
* crystal system: trigonal
* space group: No. 164

The calculation returns the following formation enthalpy at 0 K values, one per record and in order: 72; -60; 105; 180 meV per atom.
The calculation returns the following raw total energy values, one per record and in order: -11.09; -8.23; -10.46; -7.99 eV/atom.